Here is an optimized crystal structure of Sr2BiSb2 from the Alexandria database. Energies are from PBE.

Cell: 6.4796 6.4796 6.4756 Å, 59.98 59.98 90.00°
With the nearest neighbours (Å) after each atom.
Element x y z (fractional)
1 Sr 0.7500 0.2500 0.5000  4 Sb 3.34
2 Sr 0.2500 0.7500 0.5000  4 Sb 3.34
3 Bi 0.0000 0.0000 0.0000  2 Sb 3.10
4 Sb 0.6610 0.6610 0.6779  1 Sb 2.95, 1 Bi 3.10
5 Sb 0.3390 0.3390 0.3221  1 Sb 2.95, 1 Bi 3.10

- energy above the lowest structure with this stoichiometry (meV per atom) = 222
- crystal system = tetragonal
- total magnetic moment (μB/cell) = 0.0
- calculated density (g/cm³) = 5.43
- energy relative to the elements, uncorrected (eV/atom) = -0.51

=====

Here is an optimized crystal structure of SrBi2Sb from the Alexandria database. Energies are from PBE.

Cell: 5.1631 4.9505 4.9505 Å, 90.00 90.00 90.00°
With the nearest neighbours (Å) after each atom.
Element x y z (fractional)
1 Bi 0.0000 0.0000 0.5000  4 Bi 3.50, 4 Sb 3.58, 4 Sr 3.58
2 Bi 0.0000 0.5000 0.0000  4 Bi 3.50, 4 Sr 3.58, 4 Sb 3.58
3 Sr 0.5000 0.5000 0.5000  4 Sb 3.50, 8 Bi 3.58
4 Sb 0.5000 0.0000 0.0000  4 Sr 3.50, 8 Bi 3.58

- crystal system = tetragonal
- total magnetic moment (μB/cell) = 0.0
- calculated density (g/cm³) = 8.23
- energy relative to the elements, uncorrected (eV/atom) = -0.43

=====

The highest calculated density belongs to which entry?
SrBi2Sb